[1]
Below is an optimized crystal structure of Nd2HoEr3Bi6, with properties calculated at the PBE level.

Unit cell a=4.5060 b=9.0069 c=10.0671 alpha=102.84 beta=102.93 gamma=90.00
Atoms (fractional coordinates):
Er  0.8318  0.1663  0.6635
Bi  0.0034  0.7512  0.0068
Bi  0.9966  0.2488  0.9932
Ho  0.5000  0.0000  0.0000
Bi  0.3338  0.9249  0.6677
Er  0.5000  0.5000  0.0000
Er  0.1682  0.8337  0.3365
Nd  0.8342  0.6677  0.6684
Bi  0.6662  0.0751  0.3323
Bi  0.6644  0.5892  0.3288
Bi  0.3356  0.4108  0.6712
Nd  0.1658  0.3323  0.3316

Output
SG: C2/m, No. 12
Electronic total energy in eV/cell: -61.380
Formation energy in eV/atom: -0.858
Volume in Å³ per cell: 387.73
Mass density in g/cm3: 9.46

[2]
Below is an optimized crystal structure of HoErBi2O6, with properties calculated at the PBE level.

Unit cell a=5.9972 b=5.9972 c=6.1340 alpha=60.74 beta=60.74 gamma=59.99
Atoms (fractional coordinates):
O  0.6192  0.1748  0.2503
Bi  0.0223  0.0222  0.9331
O  0.9557  0.6193  0.2502
Bi  0.5224  0.5225  0.4325
O  0.4539  0.6742  0.7511
O  0.1209  0.4539  0.7510
Er  0.3093  0.3093  0.0720
O  0.6742  0.1208  0.7511
O  0.1748  0.9557  0.2503
Ho  0.8087  0.8088  0.5737

Output
SG: R3, No. 146
Electronic total energy in eV/cell: -70.603
E_form (uncorrected) in eV/atom: -2.40
Volume in Å³ per cell: 157.71
Mass density in g/cm3: 8.91